TlCdSn2, relaxed, DFT PBE; electronic total energy = -43.45 eV for the cell shown; DFT formation energy = 0.11 eV/atom; energy above the lowest structure with this stoichiometry = 0.0523 eV per atom; total moment = 0.0 Bohr magnetons per cell
1.0
7.614 0.000 0.000
0.000 7.614 0.000
0.000 0.000 7.614
Tl Cd Sn
4 4 8
Direct
0.000 0.000 0.000
0.000 0.500 0.500
0.500 0.000 0.500
0.500 0.500 0.000
0.000 0.000 0.500
0.000 0.500 0.000
0.500 0.000 0.000
0.500 0.500 0.500
0.250 0.250 0.250
0.250 0.250 0.750
0.250 0.750 0.250
0.250 0.750 0.750
0.750 0.250 0.250
0.750 0.250 0.750
0.750 0.750 0.250
0.750 0.750 0.750